Density functional theory data (GGA-PBE) for a relaxed CaNp3S4 crystal.

CIF file:
```
data_CaNp3S4
_chemical_formula_sum 'Ca2 Np6 S8'
_cell_length_a 7.899
_cell_length_b 11.168
_cell_length_c 3.940
_cell_angle_alpha 90.00
_cell_angle_beta 90.00
_cell_angle_gamma 90.00
_symmetry_space_group_name_H-M 'C m m m'
_symmetry_Int_Tables_number 65
_symmetry_space_group_name_Hall '-C 2 2'
loop_
_atom_site_label
_atom_site_type_symbol
_atom_site_fract_x
_atom_site_fract_y
_atom_site_fract_z
Ca1 Ca 0.000 0.000 0.000
Np1 Np 0.000 0.500 0.000
Np2 Np 0.250 0.250 0.500
S1 S 0.000 0.253 0.000
S2 S 0.246 0.500 0.500
```

Values from the calculation:
Calculated total energy, eV/cell: -138.810
Formation energy (no corrections), eV/atom: -1.51

Density functional theory data (GGA-PBE) for a relaxed Sm2Dy6Mg crystal.

CIF file:
```
data_Sm2Dy6Mg
_chemical_formula_sum 'Sm4 Dy12 Mg2'
_cell_length_a 10.554
_cell_length_b 10.554
_cell_length_c 5.030
_cell_angle_alpha 90.00
_cell_angle_beta 90.00
_cell_angle_gamma 90.00
_symmetry_space_group_name_H-M 'P 42/m n m'
_symmetry_Int_Tables_number 136
_symmetry_space_group_name_Hall '-P 4n 2n'
loop_
_atom_site_label
_atom_site_type_symbol
_atom_site_fract_x
_atom_site_fract_y
_atom_site_fract_z
Sm1 Sm 0.165 0.165 0.000
Dy1 Dy 0.000 0.334 0.500
Dy2 Dy 0.167 0.833 0.000
Mg1 Mg 0.000 0.000 0.500
```

Values from the calculation:
Excess energy over the best structure of this formula in the dataset, meV per atom: 0.0
Calculated formation energy, eV per atom: 0.02
Calculated total energy, eV/cell: -76.890

Density functional theory data (GGA-PBE) for a relaxed Pr11Nd4Ho9 crystal.

CIF file:
```
data_Pr11Nd4Ho9
_chemical_formula_sum 'Pr22 Nd8 Ho18'
_cell_length_a 17.092
_cell_length_b 25.846
_cell_length_c 3.734
_cell_angle_alpha 90.00
_cell_angle_beta 90.00
_cell_angle_gamma 90.00
_symmetry_space_group_name_H-M 'C m m m'
_symmetry_Int_Tables_number 65
_symmetry_space_group_name_Hall '-C 2 2'
loop_
_atom_site_label
_atom_site_type_symbol
_atom_site_fract_x
_atom_site_fract_y
_atom_site_fract_z
Pr1 Pr 0.000 0.000 0.000
Pr2 Pr 0.000 0.160 0.000
Pr3 Pr 0.000 0.367 0.000
Pr4 Pr 0.211 0.500 0.000
Pr5 Pr 0.225 0.181 0.000
Nd1 Nd 0.156 0.399 0.500
Ho1 Ho 0.000 0.500 0.500
Ho2 Ho 0.101 0.265 0.500
Ho3 Ho 0.138 0.073 0.500
```

Values from the calculation:
Calculated formation energy, eV per atom: 0.06
Calculated total energy, eV/cell: -222.589

Density functional theory data (GGA-PBE) for a relaxed SiHg2As crystal.

CIF file:
```
data_SiHg2As
_chemical_formula_sum 'Si4 Hg8 As4'
_cell_length_a 7.010
_cell_length_b 7.010
_cell_length_c 7.010
_cell_angle_alpha 90.00
_cell_angle_beta 90.00
_cell_angle_gamma 90.00
_symmetry_space_group_name_H-M 'F m -3 m'
_symmetry_Int_Tables_number 225
_symmetry_space_group_name_Hall '-F 4 2 3'
loop_
_atom_site_label
_atom_site_type_symbol
_atom_site_fract_x
_atom_site_fract_y
_atom_site_fract_z
Si1 Si 0.000 0.000 0.000
Hg1 Hg 0.250 0.250 0.250
As1 As 0.000 0.000 0.500
```

Values from the calculation:
Excess energy over the best structure of this formula in the dataset, meV per atom: 464.5
Calculated total energy, eV/cell: -33.665
Formation energy (no corrections), eV/atom: 0.56

Density functional theory data (GGA-PBE) for a relaxed K2Y crystal.

CIF file:
```
data_K2Y
_chemical_formula_sum 'K8 Y4'
_cell_length_a 16.251
_cell_length_b 3.804
_cell_length_c 10.378
_cell_angle_alpha 90.00
_cell_angle_beta 106.26
_cell_angle_gamma 90.00
_symmetry_space_group_name_H-M 'C 1 m 1'
_symmetry_Int_Tables_number 8
loop_
_symmetry_equiv_pos_as_xyz
'x,y,z'
'x,-y,z'
'x+1/2,y+1/2,z'
'x+1/2,-y+1/2,z'
loop_
_atom_site_label
_atom_site_type_symbol
_atom_site_fract_x
_atom_site_fract_y
_atom_site_fract_z
K1 K 0.000 0.000 0.000
K2 K 0.057 0.000 0.625
K3 K 0.161 0.500 0.319
K4 K 0.321 0.000 0.669
Y1 Y 0.251 0.500 0.000
Y2 Y 0.376 0.000 0.257
```

Values from the calculation:
Calculated formation energy, eV per atom: 0.41
Calculated total energy, eV/cell: -29.660

Density functional theory data (GGA-PBE) for a relaxed K2InP crystal.

CIF file:
```
data_K2InP
_chemical_formula_sum 'K4 In2 P2'
_cell_length_a 5.256
_cell_length_b 5.256
_cell_length_c 8.713
_cell_angle_alpha 90.00
_cell_angle_beta 90.00
_cell_angle_gamma 90.00
_symmetry_space_group_name_H-M 'I -4 m 2'
_symmetry_Int_Tables_number 119
_symmetry_space_group_name_Hall 'I -4 -2'
loop_
_atom_site_label
_atom_site_type_symbol
_atom_site_fract_x
_atom_site_fract_y
_atom_site_fract_z
K1 K 0.000 0.000 0.000
K2 K 0.000 0.500 0.250
In1 In 0.000 0.000 0.500
P1 P 0.000 0.500 0.750
```

Values from the calculation:
Excess energy over the best structure of this formula in the dataset, meV per atom: 274.8
Calculated formation energy, eV per atom: 0.01
Calculated total energy, eV/cell: -20.634

Density functional theory data (GGA-PBE) for a relaxed IrPtRh crystal.

CIF file:
```
data_IrPtRh
_chemical_formula_sum 'Ir2 Pt2 Rh2'
_cell_length_a 2.758
_cell_length_b 3.893
_cell_length_c 8.247
_cell_angle_alpha 90.00
_cell_angle_beta 90.00
_cell_angle_gamma 90.00
_symmetry_space_group_name_H-M 'I m m 2'
_symmetry_Int_Tables_number 44
loop_
_symmetry_equiv_pos_as_xyz
'x,y,z'
'-x,-y,z'
'-x,y,z'
'x,-y,z'
'x+1/2,y+1/2,z+1/2'
'-x+1/2,-y+1/2,z+1/2'
'-x+1/2,y+1/2,z+1/2'
'x+1/2,-y+1/2,z+1/2'
loop_
_atom_site_label
_atom_site_type_symbol
_atom_site_fract_x
_atom_site_fract_y
_atom_site_fract_z
Ir1 Ir 0.000 0.000 0.000
Pt1 Pt 0.000 0.000 0.332
Rh1 Rh 0.000 0.000 0.662
```

Values from the calculation:
Excess energy over the best structure of this formula in the dataset, meV per atom: 49.6
Calculated formation energy, eV per atom: 0.02
Calculated total energy, eV/cell: -44.405

Density functional theory data (GGA-PBE) for a relaxed HfMn2Ni crystal.

CIF file:
```
data_HfMn2Ni
_chemical_formula_sum 'Hf4 Mn8 Ni4'
_cell_length_a 6.073
_cell_length_b 6.073
_cell_length_c 6.073
_cell_angle_alpha 90.00
_cell_angle_beta 90.00
_cell_angle_gamma 90.00
_symmetry_space_group_name_H-M 'F m -3 m'
_symmetry_Int_Tables_number 225
_symmetry_space_group_name_Hall '-F 4 2 3'
loop_
_atom_site_label
_atom_site_type_symbol
_atom_site_fract_x
_atom_site_fract_y
_atom_site_fract_z
Hf1 Hf 0.000 0.000 0.000
Mn1 Mn 0.250 0.250 0.250
Ni1 Ni 0.000 0.000 0.500
```

Values from the calculation:
Excess energy over the best structure of this formula in the dataset, meV per atom: 0.0
Calculated formation energy, eV per atom: 0.03
Calculated total energy, eV/cell: -135.770